No. 1
## ZnCdTeO (PBE-GGA)

Data for a geometry-optimized ZnCdTeO structure.

Cell lengths 4.843, 4.044, 6.342 Å; angles 90.00, 109.80, 90.00 degrees
Fractional coordinates of all 4 atoms:
Te 0.665 0.000 0.555
Zn 0.805 0.500 0.823
O 0.977 0.500 0.131
Cd 0.045 0.000 0.284

Summary:
Space group: Pm, No. 6
Total DFT energy (no corrections): -12.88 eV per cell
Volume: 116.9 Å³ per cell

No. 2
## CsH2SNO3 (PBE-GGA)

Data for a geometry-optimized CsH2SNO3 structure.

Cell lengths 6.851, 8.531, 8.789 Å; angles 90.00, 90.00, 90.00 degrees
Fractional coordinates of all 32 atoms:
O 0.250 0.967 0.289
O 0.430 0.708 0.618
H 0.873 0.920 0.006
H 0.373 0.420 0.494
Cs 0.250 0.066 0.627
O 0.570 0.292 0.382
N 0.750 0.512 0.501
S 0.750 0.383 0.357
S 0.250 0.617 0.643
H 0.127 0.420 0.494
H 0.627 0.580 0.506
O 0.750 0.033 0.711
Cs 0.750 0.566 0.873
H 0.373 0.080 0.994
Cs 0.750 0.934 0.373
O 0.070 0.792 0.118
Cs 0.250 0.434 0.127
O 0.570 0.208 0.882
O 0.250 0.533 0.789
H 0.127 0.080 0.994
O 0.930 0.208 0.882
N 0.250 0.488 0.499
N 0.250 0.012 0.999
S 0.250 0.883 0.143
H 0.627 0.920 0.006
O 0.430 0.792 0.118
O 0.750 0.467 0.211
O 0.070 0.708 0.618
H 0.873 0.580 0.506
N 0.750 0.988 0.001
O 0.930 0.292 0.382
S 0.750 0.117 0.857

Summary:
Space group: Pnma, No. 62
Total DFT energy (no corrections): -176.12 eV per cell
Volume: 513.7 Å³ per cell

Q: The highest total DFT energy (no corrections) belongs to which entry?
A: ZnCdTeO

Q: Which of these has the highest total DFT energy (no corrections)?
A: ZnCdTeO